# 1
{
  "formula": "Cu4Te5Cl4O12",
  "functional": "meta-GGA SCAN",
  "state": "single point on PBEsol structure",
  "raw_formation_energy_kj_per_mol_atoms": -94.6,
  "cell": [[11.247, 0.000, 0.000], [0.000, 11.247, 0.000], [0.000, 0.000, 6.321]],
  "species": ["Cu", "Cu", "Cu", "Cu", "Cu", "Cu", "Cu", "Cu", "Te", "Te", "Te", "Te", "Te", "Te", "Te", "Te", "Te", "Te", "Cl", "Cl", "Cl", "Cl", "Cl", "Cl", "Cl", "Cl", "O", "O", "O", "O", "O", "O", "O", "O", "O", "O", "O", "O", "O", "O", "O", "O", "O", "O", "O", "O", "O", "O", "O", "O"],
  "frac_coords": [[0.093, 0.745, 0.148], [0.245, 0.907, 0.852], [0.255, 0.593, 0.852], [0.407, 0.755, 0.148], [0.593, 0.245, 0.852], [0.745, 0.407, 0.148], [0.755, 0.093, 0.148], [0.907, 0.255, 0.852], [0.020, 0.675, 0.627], [0.175, 0.980, 0.373], [0.250, 0.250, 0.124], [0.325, 0.520, 0.373], [0.480, 0.825, 0.627], [0.520, 0.175, 0.373], [0.675, 0.480, 0.627], [0.750, 0.750, 0.876], [0.825, 0.020, 0.627], [0.980, 0.325, 0.373], [0.056, 0.384, 0.828], [0.116, 0.056, 0.828], [0.384, 0.444, 0.828], [0.444, 0.116, 0.828], [0.556, 0.884, 0.172], [0.616, 0.556, 0.172], [0.884, 0.944, 0.172], [0.944, 0.616, 0.172], [0.077, 0.794, 0.438], [0.095, 0.208, 0.267], [0.128, 0.715, 0.855], [0.206, 0.577, 0.562], [0.208, 0.405, 0.267], [0.215, 0.872, 0.145], [0.285, 0.628, 0.145], [0.292, 0.095, 0.267], [0.294, 0.923, 0.562], [0.372, 0.785, 0.855], [0.405, 0.292, 0.267], [0.423, 0.706, 0.438], [0.577, 0.294, 0.562], [0.595, 0.708, 0.733], [0.628, 0.215, 0.145], [0.706, 0.077, 0.438], [0.708, 0.905, 0.733], [0.715, 0.372, 0.855], [0.785, 0.128, 0.855], [0.792, 0.595, 0.733], [0.794, 0.423, 0.438], [0.872, 0.285, 0.145], [0.905, 0.792, 0.733], [0.923, 0.206, 0.562]]
}

***

# 2
{
  "formula": "BaCu2AuC",
  "functional": "meta-GGA SCAN",
  "state": "single point on PBEsol structure",
  "formation_energy_ev_per_atom": 0.469,
  "cell": [[4.100, 0.000, 0.000], [0.000, 4.100, 0.000], [0.000, 0.000, 5.517]],
  "species": ["Ba", "Cu", "Cu", "Au", "C"],
  "frac_coords": [[0.000, 0.000, 0.000], [0.000, 0.500, 0.500], [0.500, 0.000, 0.500], [0.500, 0.500, 0.000], [0.000, 0.000, 0.500]]
}

***

# 3
{
  "formula": "Se3Br",
  "functional": "meta-GGA SCAN",
  "state": "single point on PBEsol structure",
  "raw_formation_energy_kj_per_mol_atoms": 26.0,
  "cell": [[3.798, -6.923, 0.000], [3.798, 6.923, 0.000], [0.000, 0.000, 3.805]],
  "species": ["Se", "Se", "Se", "Se", "Se", "Se", "Br", "Br"],
  "frac_coords": [[0.017, 0.635, 0.250], [0.069, 0.931, 0.750], [0.365, 0.983, 0.250], [0.635, 0.017, 0.750], [0.931, 0.069, 0.250], [0.983, 0.365, 0.750], [0.384, 0.616, 0.750], [0.616, 0.384, 0.250]]
}

***

# 4
{
  "formula": "Cs2BaCuSn",
  "functional": "meta-GGA SCAN",
  "state": "single point on PBEsol structure",
  "formation_energy_ev_per_atom": 0.138,
  "cell": [[6.452, 0.000, 0.000], [0.000, 6.452, 0.000], [0.000, 0.000, 5.049]],
  "species": ["Cs", "Cs", "Ba", "Cu", "Sn"],
  "frac_coords": [[0.000, 0.500, 0.000], [0.500, 0.000, 0.000], [0.000, 0.000, 0.500], [0.500, 0.500, 0.000], [0.500, 0.500, 0.500]]
}

***

# 5
{
  "formula": "FeAs4P",
  "functional": "meta-GGA SCAN",
  "state": "single point on PBEsol structure",
  "formation_energy_ev_per_atom": 0.869,
  "cell": [[0.000, 3.792, 3.792], [3.792, 0.000, 3.792], [3.792, 3.792, 0.000]],
  "species": ["Fe", "As", "As", "As", "As", "P"],
  "frac_coords": [[0.000, 0.000, 0.000], [0.125, 0.625, 0.625], [0.625, 0.125, 0.625], [0.625, 0.625, 0.125], [0.625, 0.625, 0.625], [0.250, 0.250, 0.250]]
}

***

# 6
{
  "formula": "ZrTcMo",
  "functional": "meta-GGA SCAN",
  "state": "single point on PBEsol structure",
  "formation_energy_ev_per_atom": -0.210,
  "cell": [[-1.586, 1.586, 4.939], [1.586, -1.586, 4.939], [1.586, 1.586, -4.939]],
  "species": ["Zr", "Tc", "Mo"],
  "frac_coords": [[0.000, 0.000, 0.000], [0.327, 0.327, 0.000], [0.680, 0.680, 0.000]]
}

***

# 7
{
  "formula": "YRuPb2",
  "functional": "meta-GGA SCAN",
  "state": "single point on PBEsol structure",
  "formation_energy_ev_per_atom": -0.022,
  "cell": [[4.437, 0.000, 0.000], [0.000, 4.437, 0.000], [0.000, 0.000, 4.468]],
  "species": ["Y", "Ru", "Pb", "Pb"],
  "frac_coords": [[0.000, 0.000, 0.000], [0.500, 0.500, 0.000], [0.000, 0.500, 0.500], [0.500, 0.000, 0.500]]
}

***

# 8
{
  "formula": "NbHN2",
  "functional": "meta-GGA SCAN",
  "state": "single point on PBEsol structure",
  "total_energy_ev_per_atom": -13.25,
  "cell": [[0.000, 2.536, 2.536], [2.536, 0.000, 2.536], [2.536, 2.536, 0.000]],
  "species": ["Nb", "H", "N", "N"],
  "frac_coords": [[0.000, 0.000, 0.000], [0.500, 0.500, 0.500], [0.250, 0.250, 0.250], [0.750, 0.750, 0.750]]
}

***

# 9
{
  "formula": "CuCSe2",
  "functional": "meta-GGA SCAN",
  "state": "single point on PBEsol structure",
  "raw_formation_energy_kj_per_mol_atoms": 125.5,
  "cell": [[1.600, 0.924, 7.199], [-1.600, 0.924, 7.199], [0.000, -1.848, 7.199]],
  "species": ["Cu", "C", "Se", "Se"],
  "frac_coords": [[0.000, 0.000, 0.000], [0.500, 0.500, 0.500], [0.105, 0.105, 0.105], [0.895, 0.895, 0.895]]
}

***

# 10
{
  "formula": "NaRuC2",
  "functional": "meta-GGA SCAN",
  "state": "single point on PBEsol structure",
  "formation_energy_ev_per_atom": 1.726,
  "cell": [[0.000, 2.670, 2.670], [2.670, 0.000, 2.670], [2.670, 2.670, 0.000]],
  "species": ["Na", "Ru", "C", "C"],
  "frac_coords": [[0.000, 0.000, 0.000], [0.500, 0.500, 0.500], [0.250, 0.250, 0.250], [0.750, 0.750, 0.750]]
}

***

# 11
{
  "formula": "Li2Cr3CuO8",
  "functional": "meta-GGA SCAN",
  "state": "single point on PBEsol structure",
  "raw_formation_energy_kj_per_mol_atoms": -196.6,
  "cell": [[2.854, 1.648, 4.743], [-2.854, 1.648, 4.743], [0.000, -3.295, 4.743]],
  "species": ["Li", "Li", "Cr", "Cr", "Cr", "Cu", "O", "O", "O", "O", "O", "O", "O", "O"],
  "frac_coords": [[0.000, 0.000, 0.000], [0.379, 0.379, 0.379], [0.003, 0.003, 0.491], [0.003, 0.491, 0.003], [0.491, 0.003, 0.003], [0.622, 0.622, 0.622], [0.209, 0.750, 0.750], [0.242, 0.242, 0.242], [0.250, 0.250, 0.788], [0.250, 0.788, 0.250], [0.750, 0.209, 0.750], [0.750, 0.750, 0.209], [0.760, 0.760, 0.760], [0.788, 0.250, 0.250]]
}

***

# 12
{
  "formula": "Li4Fe3Co3Cu2O16",
  "functional": "meta-GGA SCAN",
  "state": "single point on PBEsol structure",
  "raw_formation_energy_kj_per_mol_atoms": -145.6,
  "cell": [[4.823, -2.775, 0.000], [4.823, 2.775, 0.000], [-0.512, 0.000, 9.388]],
  "species": ["Li", "Li", "Li", "Li", "Fe", "Fe", "Fe", "Co", "Co", "Co", "Cu", "Cu", "O", "O", "O", "O", "O", "O", "O", "O", "O", "O", "O", "O", "O", "O", "O", "O"],
  "frac_coords": [[0.000, 0.000, 0.000], [0.001, 0.001, 0.501], [0.351, 0.351, 0.907], [0.685, 0.685, 0.402], [0.181, 0.181, 0.218], [0.357, 0.840, 0.719], [0.840, 0.357, 0.719], [0.182, 0.671, 0.221], [0.671, 0.182, 0.221], [0.841, 0.841, 0.720], [0.346, 0.346, 0.498], [0.678, 0.678, 0.003], [0.018, 0.018, 0.814], [0.019, 0.019, 0.315], [0.054, 0.499, 0.340], [0.167, 0.167, 0.614], [0.172, 0.688, 0.614], [0.326, 0.851, 0.114], [0.338, 0.338, 0.114], [0.499, 0.054, 0.340], [0.501, 0.501, 0.330], [0.533, 0.983, 0.834], [0.535, 0.535, 0.844], [0.673, 0.673, 0.609], [0.688, 0.172, 0.614], [0.849, 0.849, 0.114], [0.851, 0.326, 0.114], [0.983, 0.533, 0.834]]
}

***

# 13
{
  "formula": "Cu2H2Se2O7",
  "functional": "meta-GGA SCAN",
  "state": "single point on PBEsol structure",
  "total_energy_ev_per_atom": -10.22,
  "cell": [[8.387, 0.000, 0.000], [0.000, 7.396, 0.000], [-3.756, 0.000, 9.747]],
  "species": ["Cu", "Cu", "Cu", "Cu", "Cu", "Cu", "Cu", "Cu", "H", "H", "H", "H", "H", "H", "H", "H", "Se", "Se", "Se", "Se", "Se", "Se", "Se", "Se", "O", "O", "O", "O", "O", "O", "O", "O", "O", "O", "O", "O", "O", "O", "O", "O", "O", "O", "O", "O", "O", "O", "O", "O", "O", "O", "O", "O"],
  "frac_coords": [[0.076, 0.201, 0.024], [0.076, 0.299, 0.524], [0.347, 0.202, 0.393], [0.347, 0.298, 0.893], [0.653, 0.702, 0.107], [0.653, 0.798, 0.607], [0.924, 0.701, 0.476], [0.924, 0.799, 0.976], [0.162, 0.575, 0.104], [0.162, 0.925, 0.604], [0.272, 0.746, 0.574], [0.272, 0.754, 0.074], [0.728, 0.246, 0.926], [0.728, 0.254, 0.426], [0.838, 0.075, 0.396], [0.838, 0.425, 0.896], [0.056, 0.598, 0.785], [0.056, 0.902, 0.285], [0.487, 0.057, 0.169], [0.487, 0.443, 0.669], [0.513, 0.557, 0.331], [0.513, 0.943, 0.831], [0.944, 0.098, 0.715], [0.944, 0.402, 0.215], [0.031, 0.016, 0.882], [0.031, 0.484, 0.382], [0.125, 0.109, 0.366], [0.125, 0.391, 0.866], [0.129, 0.116, 0.673], [0.129, 0.384, 0.173], [0.159, 0.691, 0.052], [0.159, 0.809, 0.552], [0.323, 0.184, 0.053], [0.323, 0.316, 0.553], [0.394, 0.011, 0.287], [0.394, 0.489, 0.787], [0.452, 0.655, 0.590], [0.452, 0.845, 0.090], [0.548, 0.155, 0.910], [0.548, 0.345, 0.410], [0.606, 0.511, 0.213], [0.606, 0.989, 0.713], [0.677, 0.684, 0.447], [0.677, 0.816, 0.947], [0.841, 0.191, 0.448], [0.841, 0.309, 0.948], [0.871, 0.616, 0.827], [0.871, 0.884, 0.327], [0.875, 0.609, 0.134], [0.875, 0.891, 0.634], [0.969, 0.516, 0.618], [0.969, 0.984, 0.118]]
}

***

# 14
{
  "formula": "Sc2BI",
  "functional": "meta-GGA SCAN",
  "state": "single point on PBEsol structure",
  "raw_formation_energy_kj_per_mol_atoms": 27.3,
  "cell": [[0.000, 3.336, 3.336], [3.336, 0.000, 3.336], [3.336, 3.336, 0.000]],
  "species": ["Sc", "Sc", "B", "I"],
  "frac_coords": [[0.250, 0.250, 0.250], [0.750, 0.750, 0.750], [0.000, 0.000, 0.000], [0.500, 0.500, 0.500]]
}

***

# 15
{
  "formula": "MgAs2S2O4F12",
  "functional": "meta-GGA SCAN",
  "state": "single point on PBEsol structure",
  "raw_formation_energy_kj_per_mol_atoms": -204.5,
  "cell": [[10.007, 0.000, 0.000], [0.000, 10.464, 0.000], [-9.548, 0.000, 12.252]],
  "species": ["Mg", "Mg", "Mg", "Mg", "As", "As", "As", "As", "As", "As", "As", "As", "S", "S", "S", "S", "S", "S", "S", "S", "O", "O", "O", "O", "O", "O", "O", "O", "O", "O", "O", "O", "O", "O", "O", "O", "F", "F", "F", "F", "F", "F", "F", "F", "F", "F", "F", "F", "F", "F", "F", "F", "F", "F", "F", "F", "F", "F", "F", "F", "F", "F", "F", "F", "F", "F", "F", "F", "F", "F", "F", "F", "F", "F", "F", "F", "F", "F", "F", "F", "F", "F", "F", "F"],
  "frac_coords": [[0.009, 0.234, 0.248], [0.009, 0.266, 0.748], [0.991, 0.734, 0.252], [0.991, 0.766, 0.752], [0.189, 0.005, 0.690], [0.189, 0.495, 0.190], [0.287, 0.527, 0.777], [0.287, 0.973, 0.277], [0.713, 0.027, 0.723], [0.713, 0.473, 0.223], [0.811, 0.505, 0.810], [0.811, 0.995, 0.310], [0.286, 0.181, 0.009], [0.286, 0.319, 0.509], [0.330, 0.717, 0.523], [0.330, 0.783, 0.023], [0.670, 0.217, 0.977], [0.670, 0.283, 0.477], [0.714, 0.681, 0.491], [0.714, 0.819, 0.991], [0.160, 0.736, 0.422], [0.160, 0.764, 0.922], [0.183, 0.230, 0.419], [0.183, 0.270, 0.919], [0.258, 0.048, 0.980], [0.258, 0.452, 0.480], [0.463, 0.705, 0.513], [0.463, 0.795, 0.013], [0.537, 0.205, 0.987], [0.537, 0.295, 0.487], [0.742, 0.548, 0.520], [0.742, 0.952, 0.020], [0.817, 0.730, 0.081], [0.817, 0.770, 0.581], [0.840, 0.236, 0.078], [0.840, 0.264, 0.578], [0.027, 0.514, 0.914], [0.027, 0.986, 0.414], [0.109, 0.632, 0.731], [0.109, 0.868, 0.231], [0.137, 0.103, 0.232], [0.137, 0.397, 0.732], [0.141, 0.601, 0.261], [0.141, 0.899, 0.761], [0.162, 0.136, 0.756], [0.162, 0.364, 0.256], [0.212, 0.627, 0.133], [0.212, 0.873, 0.633], [0.221, 0.531, 0.644], [0.221, 0.969, 0.144], [0.234, 0.117, 0.628], [0.234, 0.383, 0.128], [0.327, 0.520, 0.902], [0.327, 0.980, 0.402], [0.399, 0.501, 0.306], [0.399, 0.999, 0.806], [0.417, 0.658, 0.815], [0.417, 0.842, 0.315], [0.445, 0.084, 0.317], [0.445, 0.416, 0.817], [0.555, 0.584, 0.183], [0.555, 0.916, 0.683], [0.583, 0.158, 0.685], [0.583, 0.342, 0.185], [0.601, 0.001, 0.194], [0.601, 0.499, 0.694], [0.673, 0.020, 0.598], [0.673, 0.480, 0.098], [0.766, 0.617, 0.872], [0.766, 0.883, 0.372], [0.779, 0.031, 0.856], [0.779, 0.469, 0.356], [0.788, 0.127, 0.367], [0.788, 0.373, 0.867], [0.838, 0.636, 0.744], [0.838, 0.864, 0.244], [0.859, 0.101, 0.239], [0.859, 0.399, 0.739], [0.863, 0.603, 0.268], [0.863, 0.897, 0.768], [0.891, 0.132, 0.769], [0.891, 0.368, 0.269], [0.973, 0.014, 0.586], [0.973, 0.486, 0.086]]
}

***

# 16
{
  "formula": "AgPOs2",
  "functional": "meta-GGA SCAN",
  "state": "single point on PBEsol structure",
  "formation_energy_ev_per_atom": 0.563,
  "cell": [[2.788, 0.000, 0.000], [0.000, 3.780, 0.000], [0.000, 0.000, 5.633]],
  "species": ["Ag", "P", "Os", "Os"],
  "frac_coords": [[0.000, 0.000, 0.000], [0.500, 0.500, 0.697], [0.000, 0.000, 0.490], [0.500, 0.500, 0.283]]
}

***

# 17
{
  "formula": "BeReOs2",
  "functional": "meta-GGA SCAN",
  "state": "single point on PBEsol structure",
  "formation_energy_ev_per_atom": 0.318,
  "cell": [[2.805, 0.000, 0.000], [0.000, 4.319, 0.000], [0.000, 0.000, 4.388]],
  "species": ["Be", "Re", "Os", "Os"],
  "frac_coords": [[0.000, 0.000, 0.000], [0.500, 0.000, 0.500], [0.000, 0.500, 0.500], [0.500, 0.500, 0.000]]
}